Entry w
A plane-wave DFT calculation with PBE was carried out for an optimized crystal structure of Dy2AlCd3.

Cell and atoms, written as POSCAR:
```
Dy2AlCd3
1.0
3.504 0.000 0.000
0.000 4.845 0.000
0.000 0.000 8.385
Dy Al Cd
2 1 3
direct
0.000 0.000 0.000
0.000 0.500 0.484
0.500 0.000 0.325
0.500 0.000 0.652
0.500 0.500 0.162
0.500 0.500 0.824
```

* D(E_F): 4.39 states/eV per cell

=====

Entry x
A plane-wave DFT calculation with PBE was carried out for an optimized crystal structure of Dy2AlCd3.

Cell and atoms, written as POSCAR:
```
Dy2AlCd3
1.0
0.000 4.847 8.407
3.496 0.000 8.407
3.496 4.847 0.000
Dy Al Cd
4 2 6
direct
0.249 0.751 0.751
0.250 0.250 0.250
0.750 0.750 0.750
0.751 0.249 0.249
0.333 0.333 0.667
0.667 0.667 0.333
0.170 0.170 0.830
0.170 0.661 0.339
0.339 0.830 0.170
0.661 0.170 0.830
0.830 0.339 0.661
0.830 0.830 0.170
```

* D(E_F): 9.02 states/eV per cell

=====

Tell me which of them is the least stable. Sure, it is entry x.